This record from Alexandria describes a relaxed structure of La2PtRhSe. The functional is PBE.

Unit cell a=5.5031 b=5.5031 c=4.7915 alpha=90.00 beta=90.00 gamma=90.00
Positions (direct):
1 La 0.0000 0.5000 0.0000
2 La 0.5000 0.0000 0.0000
3 Pt 0.0000 0.0000 0.5000
4 Rh 0.0000 0.0000 0.0000
5 Se 0.5000 0.5000 0.5000

**V**: 29.0 Å³ per atom
**Density of states at the Fermi level**: 0.7669 states/eV per atom



This record from Alexandria describes a relaxed structure of La2Si3Pt12Rh. The functional is PBE.

Unit cell a=7.7984 b=7.7984 c=7.7984 alpha=63.56 beta=63.56 gamma=63.56
Positions (direct):
1 La 0.1161 0.1161 0.1161
2 La 0.8839 0.8839 0.8839
3 Si 0.0000 0.5000 0.5000
4 Si 0.5000 0.0000 0.5000
5 Si 0.5000 0.5000 0.0000
6 Pt 0.1203 0.6279 0.6279
7 Pt 0.1451 0.1451 0.6030
8 Pt 0.1451 0.6030 0.1451
9 Pt 0.3721 0.3721 0.8797
10 Pt 0.3721 0.8797 0.3721
11 Pt 0.3969 0.8549 0.8549
12 Pt 0.6030 0.1451 0.1451
13 Pt 0.6279 0.1203 0.6279
14 Pt 0.6279 0.6279 0.1203
15 Pt 0.8549 0.3969 0.8549
16 Pt 0.8549 0.8549 0.3970
17 Pt 0.8797 0.3721 0.3721
18 Rh 0.5000 0.5000 0.5000

**V**: 20.1 Å³ per atom
**Density of states at the Fermi level**: 0.4802 states/eV per atom



What energy relative to the elements, uncorrected values result from the calculations? In sequence: -61.1, -42.1 kJ/mol of atoms.